Here is Os2RhPb after structural relaxation from the Alexandria database. Energies are from GGA-PBE.

**E_form**: 0.60 eV/atom
**Final energy**: -7.781 eV/atom
**Crystal system**: monoclinic
**Volume**: 16.637 Å³/atom
**Space group**: No. 8

Unit cell a=4.7952 b=4.7952 c=5.0277 alpha=81.06 beta=81.06 gamma=35.70
Closest atoms and distances in Å follow each position.
Atoms (fractional coordinates):
Os 0.0019 0.0019 0.9733  5 Os 2.66-2.94, 3 Rh 2.84-2.87, 4 Pb 2.88-2.94
Os 0.7411 0.7411 0.8033  5 Os 2.66-2.94, 2 Rh 2.68, 1 Pb 2.93
Pb 0.5010 0.5010 0.4806  3 Rh 2.70-2.84, 7 Os 2.88-3.03, 2 Pb 2.94
Rh 0.2559 0.2559 0.2427  5 Os 2.68-2.87, 3 Pb 2.70-2.84, 2 Rh 2.94